Compound: RbSn3C
Source: the Alexandria database
Functional: PBE-GGA
Structure: relaxed

It has space group Pm-3m (No. 221), with a = 5.124 Å, b = 5.124 Å, c = 5.124 Å, α = 90.00°, β = 90.00° and γ = 90.00°. The asymmetric unit holds Rb at (0.000, 0.000, 0.000), Sn at (0.000, 0.500, 0.500) and C at (0.500, 0.500, 0.500).

The energy of formation from the pure elements is 4.4 eV per formula unit. The calculation puts the energy above the most stable polymorph in this dataset at 0.0 meV/atom. The density of states at the Fermi level is 0.95 states/eV per atom. For the total energy, the calculation gives -3.57 eV/atom.